Here is an optimized crystal structure of Mg2TcAs from Alexandria via LeMat-Bulk. Energies are from PBE.

Values from the calculation:
Its total moment is 0.00 μB per cell. The value obtained for the calculated formation energy is 0.19 eV/atom.

Unit cell a=4.543 b=4.543 c=4.543 alpha=60.00 beta=60.00 gamma=60.00
Fractional coordinates of all 4 atoms:
1 Mg 0.000 0.000 0.000
2 Mg 0.250 0.250 0.250
3 Tc 0.500 0.500 0.500
4 As 0.750 0.750 0.750

Here is an optimized crystal structure of Mg2TcAs from Alexandria via LeMat-Bulk. Energies are from PBE.

Values from the calculation:
Its total moment is 3.03 μB per cell. The value obtained for the calculated formation energy is 0.37 eV/atom.

Unit cell a=5.982 b=5.982 c=5.982 alpha=100.63 beta=100.63 gamma=129.14
Fractional coordinates of all 8 atoms:
1 Mg 0.100 0.625 0.975
2 Mg 0.375 0.350 0.475
3 Mg 0.650 0.125 0.025
4 Mg 0.875 0.900 0.525
5 Tc 0.250 0.750 0.500
6 Tc 0.500 0.500 0.000
7 As 0.000 0.000 0.000
8 As 0.750 0.250 0.500

Here is an optimized crystal structure of Mg2TcAs from Alexandria via LeMat-Bulk. Energies are from PBE.

Values from the calculation:
Its total moment is 0.58 μB per cell. The value obtained for the calculated formation energy is 0.10 eV/atom.

Unit cell a=2.870 b=2.870 c=8.543 alpha=90.00 beta=90.00 gamma=90.00
Fractional coordinates of all 4 atoms:
1 Mg 0.000 0.000 0.238
2 Mg 0.000 0.000 0.762
3 Tc 0.500 0.500 0.000
4 As 0.500 0.500 0.500

Here is an optimized crystal structure of MgTcAs from Alexandria via LeMat-Bulk. Energies are from PBE.

Values from the calculation:
Its total moment is 0.00 μB per cell. For the distance to the lowest polymorph of the same formula, the calculation gives 0.211 eV/atom. The value obtained for the calculated formation energy is -0.08 eV/atom.

Unit cell a=3.106 b=3.106 c=6.335 alpha=90.00 beta=90.00 gamma=120.00
Fractional coordinates of all 3 atoms:
1 Mg 0.000 0.000 0.000
2 Tc 0.333 0.667 0.346
3 As 0.667 0.333 0.613

Here is an optimized crystal structure of MgTc2As from Alexandria via LeMat-Bulk. Energies are from PBE.

Values from the calculation:
Its total moment is 0.00 μB per cell. For the distance to the lowest polymorph of the same formula, the calculation gives 0.215 eV/atom. The value obtained for the calculated formation energy is 0.19 eV/atom.

Unit cell a=4.325 b=4.325 c=3.156 alpha=90.00 beta=90.00 gamma=90.00
Fractional coordinates of all 4 atoms:
1 Mg 0.000 0.000 0.000
2 Tc 0.000 0.500 0.500
3 Tc 0.500 0.000 0.500
4 As 0.500 0.500 0.000

Here is an optimized crystal structure of MgTc2As from Alexandria via LeMat-Bulk. Energies are from PBE.

Values from the calculation:
Its total moment is 0.00 μB per cell. For the distance to the lowest polymorph of the same formula, the calculation gives 0.294 eV/atom. The value obtained for the calculated formation energy is 0.27 eV/atom.

Unit cell a=2.907 b=2.907 c=8.375 alpha=90.00 beta=90.00 gamma=115.02
Fractional coordinates of all 4 atoms:
1 Mg 0.000 0.000 0.000
2 Tc 0.500 0.500 0.274
3 Tc 0.500 0.500 0.726
4 As 0.000 0.000 0.500

Here is an optimized crystal structure of Mg2TcAs from Alexandria via LeMat-Bulk. Energies are from PBE.

Values from the calculation:
Its total moment is 0.00 μB per cell. The value obtained for the calculated formation energy is 0.08 eV/atom.

Unit cell a=2.863 b=2.863 c=8.765 alpha=90.00 beta=90.00 gamma=103.79
Fractional coordinates of all 4 atoms:
1 Mg 0.000 0.000 0.238
2 Mg 0.000 0.000 0.762
3 Tc 0.500 0.500 0.000
4 As 0.500 0.500 0.500

Here is an optimized crystal structure of MgTc2As from Alexandria via LeMat-Bulk. Energies are from PBE.

Values from the calculation:
Its total moment is 0.00 μB per cell. For the distance to the lowest polymorph of the same formula, the calculation gives 0.096 eV/atom. The value obtained for the calculated formation energy is 0.07 eV/atom.

Unit cell a=8.935 b=8.935 c=8.935 alpha=18.88 beta=18.88 gamma=18.88
Fractional coordinates of all 4 atoms:
1 Mg 0.000 0.000 0.000
2 Tc 0.248 0.248 0.248
3 Tc 0.503 0.503 0.503
4 As 0.762 0.762 0.762

Here is an optimized crystal structure of Mg2TcAs from Alexandria via LeMat-Bulk. Energies are from PBE.

Values from the calculation:
Its total moment is 0.00 μB per cell. The value obtained for the calculated formation energy is -0.10 eV/atom.

Unit cell a=4.949 b=4.949 c=4.649 alpha=110.42 beta=110.42 gamma=40.00
Fractional coordinates of all 4 atoms:
1 Mg 0.000 0.000 0.000
2 Mg 0.233 0.233 0.779
3 Tc 0.468 0.468 0.453
4 As 0.755 0.755 0.341

Here is an optimized crystal structure of Mg2TcAs from Alexandria via LeMat-Bulk. Energies are from PBE.

Values from the calculation:
Its total moment is 0.69 μB per cell. The value obtained for the calculated formation energy is 0.06 eV/atom.

Unit cell a=5.241 b=5.241 c=5.241 alpha=136.89 beta=136.89 gamma=62.61
Fractional coordinates of all 4 atoms:
1 Mg 0.250 0.750 0.500
2 Mg 0.750 0.250 0.500
3 Tc 0.000 0.000 0.000
4 As 0.500 0.500 0.000

Here is an optimized crystal structure of MgTcAs2 from Alexandria via LeMat-Bulk. Energies are from PBE.

Values from the calculation:
Its total moment is 0.00 μB per cell. The value obtained for the calculated formation energy is -0.21 eV/atom.

Unit cell a=7.055 b=7.055 c=7.055 alpha=154.13 beta=151.87 gamma=38.59
Fractional coordinates of all 4 atoms:
1 Mg 0.000 0.000 0.000
2 Tc 0.240 0.740 0.500
3 As 0.386 0.386 0.000
4 As 0.660 0.160 0.500

Here is an optimized crystal structure of MgTc2As from Alexandria via LeMat-Bulk. Energies are from PBE.

Values from the calculation:
Its total moment is 0.00 μB per cell. For the distance to the lowest polymorph of the same formula, the calculation gives 0.299 eV/atom. The value obtained for the calculated formation energy is 0.27 eV/atom.

Unit cell a=5.120 b=5.120 c=5.120 alpha=136.65 beta=136.65 gamma=62.97
Fractional coordinates of all 4 atoms:
1 Mg 0.000 0.000 0.000
2 Tc 0.250 0.750 0.500
3 Tc 0.750 0.250 0.500
4 As 0.500 0.500 0.000